Crystalline CoReAsO at its relaxed geometry. Source: OQMD via LeMat-Bulk, functional PBE with a Hubbard U.

The density comes out at 10.0 g/cm³. For the raw total energy, the calculation gives -55.28 eV per cell.

CIF file:
```
data_CoReAsO
_cell_length_a 3.915
_cell_length_b 5.094
_cell_length_c 5.590
_cell_angle_alpha 90.00
_cell_angle_beta 90.00
_cell_angle_gamma 90.00
_space_group_name_H-M_alt 'P m c 21'
_space_group_IT_number 26
_space_group_name_Hall 'P 2c -2'
loop_
_atom_site_label
_atom_site_fract_x
_atom_site_fract_y
_atom_site_fract_z
_atom_site_occupancy
Co1 0.000 0.210 0.000 1
Re1 0.500 0.150 0.353 1
As1 0.500 0.354 0.765 1
O1 0.000 0.161 0.348 1
```